14
Lattice="-1.651 -5.166 -0.483 1.727 -1.156 6.461 -9.632 5.618 3.579" Properties=species:S:1:pos:R:3 comment="NdDy4Sc2 (PBE, relaxed)" density_kg_m3=6976 e_tot_ev_per_atom=-4.9790 m_tot_mub_per_cell=0.001 e_form_kj_per_mol_fu=95 relative_energy_ev_per_atom=0.000 crystal_system=monoclinic pbc="T T T"
Sc -0.462 -2.843 1.397
Sc -4.073 1.014 3.052
Sc -5.483 -1.718 6.505
Sc -9.094 2.139 8.160
Nd -9.370 -0.257 4.241
Nd -0.186 -0.448 5.317
Dy -3.204 0.444 6.283
Dy -3.892 -1.694 0.748
Dy -3.034 -2.268 3.959
Dy -1.203 0.190 2.138
Dy -6.353 -1.148 3.275
Dy -6.523 1.564 5.599
Dy -5.665 0.989 8.809
Dy -8.353 -0.894 7.420

=====

19
Lattice="-2.696 -1.638 8.698 9.242 -0.100 -0.435 -3.125 8.283 -2.690" Properties=species:S:1:pos:R:3 comment="Nd12DySc6 (PBE, relaxed)" density_kg_m3=5890 e_tot_ev_per_atom=-5.0207 m_tot_mub_per_cell=0.001 e_form_kj_per_mol_fu=426 relative_energy_ev_per_atom=0.000 crystal_system=cubic pbc="T T T"
Sc -2.068 4.450 2.574
Sc 5.488 2.096 3.000
Sc -0.540 2.693 5.997
Sc 2.471 0.047 4.960
Sc 3.960 3.852 -0.424
Sc 0.950 6.499 0.614
Nd 2.932 3.025 5.221
Nd 6.000 0.355 5.420
Nd -0.266 1.442 3.257
Nd 0.489 3.521 0.353
Nd -2.580 6.190 0.153
Nd 0.445 5.388 3.972
Nd 2.976 1.158 1.602
Nd 3.686 5.104 2.316
Nd 0.105 -0.757 6.665
Nd -2.956 4.513 6.034
Nd 6.376 2.033 -0.460
Nd 3.315 7.302 -1.091
Dy 0.000 0.000 0.000